1.
Here is a relaxed structure of Sb2PtSe from Alexandria. Energies are from PBE.

Properties
total magnetic moment	0.000	μB per cell
E_tot	-4.45	eV/atom

a = 3.469 Å, b = 3.469 Å, c = 7.292 Å
α = 90.00°, β = 90.00°, γ = 90.00°
Fractional coordinates of all 4 atoms:
1 Pt 0.500 0.500 0.750
2 Sb 0.000 0.000 0.975
3 Sb 0.000 0.000 0.525
4 Se 0.500 0.500 0.250

***

2.
Here is a relaxed structure of Tb4Nd5Sm from Alexandria. Energies are from PBE.

Properties
total magnetic moment	0.000	μB per cell
E_tot	-4.69	eV/atom
energy of formation	0.01	eV/atom
energy above the most stable polymorph in this dataset	0	meV per atom

a = 3.631 Å, b = 10.261 Å, c = 9.584 Å
α = 105.77°, β = 100.88°, γ = 89.95°
Fractional coordinates of all 10 atoms:
1 Tb 0.699 0.100 0.400
2 Tb 0.100 0.297 0.201
3 Tb 0.301 0.900 0.600
4 Tb 0.900 0.703 0.799
5 Nd 0.701 0.600 0.401
6 Nd 0.101 0.803 0.201
7 Nd 0.899 0.197 0.799
8 Nd 0.500 0.500 0.000
9 Nd 0.299 0.400 0.599
10 Sm 0.500 0.000 0.000

***

3.
Here is a relaxed structure of Ti2Mn3Ni from Alexandria. Energies are from PBE.

Properties
total magnetic moment	0.000	μB per cell
E_tot	-8.46	eV/atom
energy of formation	-0.28	eV/atom

a = 4.638 Å, b = 4.638 Å, c = 4.866 Å
α = 90.00°, β = 118.46°, γ = 120.00°
Fractional coordinates of all 6 atoms:
1 Ti 0.760 0.380 0.140
2 Ti 0.240 0.620 0.860
3 Mn 0.500 0.500 0.500
4 Mn 0.000 0.000 0.500
5 Mn 0.500 0.000 0.500
6 Ni 0.000 0.000 0.000

***

4.
Here is a relaxed structure of Zn5Cu from Alexandria. Energies are from PBE.

Properties
total magnetic moment	0.000	μB per cell
E_tot	-1.66	eV/atom
energy of formation	0.09	eV/atom

a = 4.998 Å, b = 4.998 Å, c = 4.998 Å
α = 60.00°, β = 60.00°, γ = 60.00°
Fractional coordinates of all 6 atoms:
1 Zn 0.250 0.250 0.250
2 Zn 0.625 0.124 0.625
3 Zn 0.124 0.625 0.625
4 Zn 0.625 0.625 0.124
5 Zn 0.625 0.625 0.625
6 Cu 0.000 0.000 0.000